No. 1
DFT (meta-GGA SCAN) results for a crystal of MnTeAsN2 relaxed with PBEsol.

POSCAR file:
```
MnTeAsN2
1.0
3.735 0.000 0.000
0.000 3.735 0.000
0.000 0.000 6.244
Mn Te As N
1 1 1 2
Direct
0.000 0.000 0.000
0.500 0.500 0.000
0.500 0.500 0.500
0.000 0.500 0.500
0.500 0.000 0.500
```

Summary:
- DFT total energy: -17.807 eV per atom

No. 2
DFT (meta-GGA SCAN) results for a crystal of ZrGaTeOs2 relaxed with PBEsol.

POSCAR file:
```
ZrGaTeOs2
1.0
4.740 0.000 0.000
0.000 4.740 0.000
0.000 0.000 4.968
Zr Ga Te Os
1 1 1 2
Direct
0.000 0.000 0.000
0.500 0.500 0.000
0.500 0.500 0.500
0.000 0.500 0.500
0.500 0.000 0.500
```

Summary:
- DFT total energy: -43.989 eV per atom

No. 3
DFT (meta-GGA SCAN) results for a crystal of TmScRu2 relaxed with PBEsol.

POSCAR file:
```
TmScRu2
1.0
0.000 3.231 3.231
3.231 0.000 3.231
3.231 3.231 0.000
Tm Sc Ru
1 1 2
Direct
0.000 0.000 0.000
0.500 0.500 0.500
0.250 0.250 0.250
0.750 0.750 0.750
```

Summary:
- ΔH_f (0 K): -0.59 eV/atom
- DFT total energy: -34.520 eV per atom

No. 4
DFT (meta-GGA SCAN) results for a crystal of RbHf3Cu relaxed with PBEsol.

POSCAR file:
```
RbHf3Cu
1.0
5.001 0.000 0.000
0.000 5.001 0.000
0.000 0.000 5.001
Rb Hf Cu
1 3 1
Direct
0.000 0.000 0.000
0.000 0.500 0.500
0.500 0.000 0.500
0.500 0.500 0.000
0.500 0.500 0.500
```

Summary:
- ΔH_f (0 K): 1.03 eV/atom
- Excess energy over the best structure of this formula in the dataset: 0 meV/atom
- DFT total energy: -43.762 eV per atom

No. 5
DFT (meta-GGA SCAN) results for a crystal of SiAg2Ru relaxed with PBEsol.

POSCAR file:
```
SiAg2Ru
1.0
1.386 -2.352 0.000
1.386 2.352 0.000
0.000 0.000 9.407
Si Ag Ru
1 2 1
Direct
0.000 0.000 0.000
0.500 0.500 0.247
0.500 0.500 0.753
0.000 0.000 0.500
```

Summary:
- DFT total energy: -26.370 eV per atom

No. 6
DFT (meta-GGA SCAN) results for a crystal of Co3Se4Cl2O10 relaxed with PBEsol.

POSCAR file:
```
Co3Se4Cl2O10
1.0
3.671 -6.857 0.000
3.671 6.857 0.000
-1.653 0.000 5.384
Co Se Cl O
3 4 2 10
Direct
0.000 0.000 0.000
0.123 0.877 0.500
0.877 0.123 0.500
0.184 0.506 0.214
0.494 0.816 0.786
0.506 0.184 0.214
0.816 0.494 0.786
0.207 0.207 0.746
0.793 0.793 0.254
0.029 0.245 0.236
0.038 0.596 0.282
0.245 0.029 0.236
0.389 0.611 0.500
0.404 0.962 0.718
0.596 0.038 0.282
0.611 0.389 0.500
0.755 0.971 0.764
0.962 0.404 0.718
0.971 0.755 0.764
```

Summary:
- DFT total energy: -12.031 eV per atom

No. 7
DFT (meta-GGA SCAN) results for a crystal of KAg2Ir relaxed with PBEsol.

POSCAR file:
```
KAg2Ir
1.0
2.782 0.000 0.000
0.000 2.782 0.000
0.000 0.000 9.592
K Ag Ir
1 2 1
Direct
0.000 0.000 0.000
0.000 0.000 0.523
0.500 0.500 0.303
0.500 0.500 0.734
```

Summary:
- ΔH_f (0 K): 0.52 eV/atom
- Excess energy over the best structure of this formula in the dataset: 32 meV/atom
- DFT total energy: -35.021 eV per atom

No. 8
DFT (meta-GGA SCAN) results for a crystal of SrMgP2O7 relaxed with PBEsol.

POSCAR file:
```
SrMgP2O7
1.0
5.309 0.000 0.000
0.000 8.298 0.000
-5.145 0.000 12.720
Sr Mg P O
4 4 8 28
Direct
0.009 0.163 0.222
0.009 0.337 0.722
0.991 0.663 0.278
0.991 0.837 0.778
0.284 0.648 0.608
0.284 0.852 0.108
0.716 0.148 0.892
0.716 0.352 0.392
0.334 0.201 0.020
0.334 0.299 0.520
0.424 0.034 0.668
0.424 0.466 0.168
0.576 0.534 0.832
0.576 0.966 0.332
0.666 0.701 0.480
0.666 0.799 0.980
0.108 0.192 0.911
0.108 0.308 0.411
0.207 0.063 0.714
0.207 0.437 0.214
0.268 0.098 0.100
0.268 0.402 0.600
0.307 0.615 0.764
0.307 0.885 0.264
0.323 0.112 0.553
0.323 0.388 0.053
0.378 0.668 0.476
0.378 0.832 0.976
0.475 0.643 0.155
0.475 0.857 0.655
0.525 0.143 0.345
0.525 0.357 0.845
0.622 0.168 0.024
0.622 0.332 0.524
0.677 0.612 0.947
0.677 0.888 0.447
0.693 0.115 0.736
0.693 0.385 0.236
0.732 0.598 0.400
0.732 0.902 0.900
0.793 0.563 0.786
0.793 0.937 0.286
0.892 0.692 0.589
0.892 0.808 0.089
```

Summary:
- DFT total energy: -11.301 eV per atom

No. 9
DFT (meta-GGA SCAN) results for a crystal of Zn2P2H12O11 relaxed with PBEsol.

POSCAR file:
```
Zn2P2H12O11
1.0
7.415 0.000 0.000
-0.537 7.411 0.000
-0.073 -0.027 9.355
Zn P H O
4 4 24 22
Direct
0.000 0.000 0.000
0.005 0.495 0.753
0.500 0.500 0.500
0.995 0.505 0.247
0.135 0.725 0.485
0.231 0.398 0.989
0.769 0.602 0.011
0.865 0.275 0.515
0.021 0.126 0.272
0.033 0.912 0.260
0.231 0.896 0.478
0.245 0.262 0.611
0.246 0.769 0.954
0.350 0.953 0.903
0.381 0.390 0.249
0.390 0.949 0.147
0.404 0.330 0.981
0.406 0.612 0.762
0.432 0.185 0.670
0.472 0.101 0.257
0.528 0.899 0.743
0.568 0.815 0.330
0.594 0.388 0.238
0.596 0.670 0.019
0.610 0.051 0.853
0.619 0.610 0.751
0.650 0.047 0.097
0.754 0.231 0.046
0.755 0.738 0.389
0.769 0.104 0.522
0.967 0.088 0.740
0.979 0.874 0.728
0.014 0.275 0.635
0.054 0.714 0.636
0.071 0.029 0.212
0.084 0.256 0.944
0.218 0.467 0.144
0.229 0.555 0.878
0.255 0.574 0.451
0.268 0.899 0.981
0.380 0.273 0.604
0.489 0.341 0.298
0.494 0.982 0.214
0.506 0.018 0.786
0.511 0.659 0.702
0.620 0.727 0.396
0.732 0.101 0.019
0.745 0.426 0.549
0.771 0.445 0.122
0.782 0.533 0.856
0.916 0.744 0.056
0.929 0.971 0.788
0.946 0.286 0.364
0.986 0.725 0.365
```

Summary:
- DFT total energy: -7.217 eV per atom

No. 10
DFT (meta-GGA SCAN) results for a crystal of LaSc2Mn relaxed with PBEsol.

POSCAR file:
```
LaSc2Mn
1.0
4.353 0.000 0.000
0.000 4.353 0.000
0.000 0.000 4.777
La Sc Mn
1 2 1
Direct
0.000 0.000 0.000
0.000 0.500 0.500
0.500 0.000 0.500
0.500 0.500 0.000
```

Summary:
- ΔH_f (0 K): 0.10 eV/atom
- Excess energy over the best structure of this formula in the dataset: 54 meV/atom
- DFT total energy: -22.362 eV per atom

No. 11
DFT (meta-GGA SCAN) results for a crystal of GePBr2 relaxed with PBEsol.

POSCAR file:
```
GePBr2
1.0
-3.801 3.801 3.169
3.801 -3.801 3.169
3.801 3.801 -3.169
Ge P Br
2 2 4
Direct
0.000 0.000 0.000
0.750 0.250 0.500
0.250 0.750 0.500
0.500 0.500 0.000
0.133 0.125 0.508
0.375 0.867 0.992
0.617 0.625 0.492
0.875 0.383 0.008
```

Summary:
- Excess energy over the best structure of this formula in the dataset: 121 meV/atom
- DFT total energy: -16.528 eV per atom

No. 12
DFT (meta-GGA SCAN) results for a crystal of TaMoPb relaxed with PBEsol.

POSCAR file:
```
TaMoPb
1.0
3.217 0.000 0.000
-1.608 2.786 0.000
0.000 0.000 6.692
Ta Mo Pb
1 1 1
Direct
0.000 0.000 0.000
0.333 0.667 0.733
0.667 0.333 0.376
```

Summary:
- ΔH_f (0 K): 0.42 eV/atom
- DFT total energy: -58.659 eV per atom

No. 13
DFT (meta-GGA SCAN) results for a crystal of TlNiAu2 relaxed with PBEsol.

POSCAR file:
```
TlNiAu2
1.0
3.973 0.000 0.000
0.000 3.973 0.000
0.000 0.000 4.229
Tl Ni Au
1 1 2
Direct
0.000 0.000 0.000
0.500 0.500 0.000
0.000 0.500 0.500
0.500 0.000 0.500
```

Summary:
- ΔH_f (0 K): 0.21 eV/atom
- DFT total energy: -56.497 eV per atom

No. 14
DFT (meta-GGA SCAN) results for a crystal of Ca2ScMn relaxed with PBEsol.

POSCAR file:
```
Ca2ScMn
1.0
-2.628 2.628 3.726
2.628 -2.628 3.726
2.628 2.628 -3.726
Ca Sc Mn
2 1 1
Direct
0.000 0.000 0.000
0.750 0.250 0.500
0.250 0.750 0.500
0.500 0.500 0.000
```

Summary:
- ΔH_f (0 K): 0.26 eV/atom
- Excess energy over the best structure of this formula in the dataset: 7 meV/atom
- DFT total energy: -12.697 eV per atom

No. 15
DFT (meta-GGA SCAN) results for a crystal of CsTi2OsW relaxed with PBEsol.

POSCAR file:
```
CsTi2OsW
1.0
4.672 0.000 0.000
0.000 4.672 0.000
0.000 0.000 4.848
Cs Ti Os W
1 2 1 1
Direct
0.000 0.000 0.000
0.000 0.500 0.000
0.500 0.000 0.000
0.500 0.500 0.500
0.000 0.000 0.500
```

Summary:
- ΔH_f (0 K): 3.32 eV/atom
- DFT total energy: -38.965 eV per atom

No. 16
DFT (meta-GGA SCAN) results for a crystal of KWBr2 relaxed with PBEsol.

POSCAR file:
```
KWBr2
1.0
-1.675 2.191 7.138
1.675 -2.191 7.138
1.675 2.191 -7.138
K W Br
1 1 2
Direct
0.000 0.000 0.000
0.221 0.721 0.500
0.388 0.388 0.000
0.691 0.191 0.500
```

Summary:
- Excess energy over the best structure of this formula in the dataset: 0 meV/atom
- DFT total energy: -28.869 eV per atom

No. 17
DFT (meta-GGA SCAN) results for a crystal of SrPb2Br relaxed with PBEsol.

POSCAR file:
```
SrPb2Br
1.0
3.093 -3.144 0.000
3.093 3.144 0.000
0.000 0.000 6.721
Sr Pb Br
1 2 1
Direct
0.000 0.000 0.000
0.242 0.758 0.500
0.758 0.242 0.500
0.500 0.500 0.000
```

Summary:
- Excess energy over the best structure of this formula in the dataset: 0 meV/atom
- DFT total energy: -49.167 eV per atom

No. 18
DFT (meta-GGA SCAN) results for a crystal of CrHgPt relaxed with PBEsol.

POSCAR file:
```
CrHgPt
1.0
2.819 0.000 0.000
-1.409 2.441 0.000
0.000 0.000 6.770
Cr Hg Pt
1 1 1
Direct
0.000 0.000 0.000
0.667 0.333 0.658
0.333 0.667 0.288
```

Summary:
- ΔH_f (0 K): 0.17 eV/atom
- DFT total energy: -52.081 eV per atom

No. 19
DFT (meta-GGA SCAN) results for a crystal of LiTlAg4 relaxed with PBEsol.

POSCAR file:
```
LiTlAg4
1.0
0.000 3.870 3.870
3.870 0.000 3.870
3.870 3.870 0.000
Li Tl Ag
1 1 4
Direct
0.000 0.000 0.000
0.750 0.750 0.750
0.375 0.375 0.375
0.375 0.375 0.876
0.375 0.876 0.375
0.876 0.375 0.375
```

Summary:
- ΔH_f (0 K): 0.00 eV/atom
- DFT total energy: -33.367 eV per atom

No. 20
DFT (meta-GGA SCAN) results for a crystal of MgPd3N relaxed with PBEsol.

POSCAR file:
```
MgPd3N
1.0
4.601 0.000 0.000
0.000 4.601 0.000
0.000 0.000 4.601
Mg Pd N
1 3 1
Direct
0.000 0.000 0.000
0.000 0.000 0.500
0.000 0.500 0.000
0.500 0.000 0.000
0.500 0.500 0.500
```

Summary:
- DFT total energy: -20.843 eV per atom

No. 21
DFT (meta-GGA SCAN) results for a crystal of SrLiTc2 relaxed with PBEsol.

POSCAR file:
```
SrLiTc2
1.0
1.377 0.795 10.258
-1.377 0.795 10.258
0.000 -1.591 10.258
Sr Li Tc
1 1 2
Direct
0.000 0.000 0.000
0.500 0.500 0.500
0.242 0.242 0.242
0.758 0.758 0.758
```

Summary:
- ΔH_f (0 K): 1.00 eV/atom
- Excess energy over the best structure of this formula in the dataset: 288 meV/atom
- DFT total energy: -22.693 eV per atom

No. 22
DFT (meta-GGA SCAN) results for a crystal of Gd3SiBr3 relaxed with PBEsol.

POSCAR file:
```
Gd3SiBr3
1.0
-5.741 5.741 5.741
5.741 -5.741 5.741
5.741 5.741 -5.741
Gd Si Br
12 4 12
Direct
0.010 0.019 0.260
0.010 0.490 0.750
0.019 0.260 0.010
0.240 0.260 0.750
0.240 0.481 0.490
0.260 0.010 0.019
0.260 0.750 0.240
0.481 0.490 0.240
0.490 0.240 0.481
0.490 0.750 0.010
0.750 0.010 0.490
0.750 0.240 0.260
0.000 0.250 0.500
0.250 0.250 0.250
0.250 0.500 0.000
0.500 0.000 0.250
0.250 0.757 0.743
0.250 0.993 0.507
0.507 0.250 0.993
0.507 0.757 0.514
0.514 0.507 0.757
0.743 0.250 0.757
0.743 0.993 0.986
0.757 0.514 0.507
0.757 0.743 0.250
0.986 0.743 0.993
0.993 0.507 0.250
0.993 0.986 0.743
```

Summary:
- DFT total energy: -36.468 eV per atom